First-principles (PBE-GGA) data for an optimized crystal structure of Dy2TmTh, as listed in Alexandria.

a b c (Å): 3.5737 3.5737 11.4395
angles (deg): 90.00 90.00 120.00
Space group P-6m2 (No. 187)
Inequivalent atoms, fractional coordinates:
1 Dy 0.0000 0.0000 0.2459 (multiplicity 2)
2 Tm 0.3333 0.6667 0.0000 (multiplicity 1)
3 Th 0.3333 0.6667 0.5000 (multiplicity 1)

Summary:
DOS at the Fermi energy   8.3 states/eV/cell
Energy relative to the elements   0.0366 eV per atom

First-principles (PBE-GGA) data for an optimized crystal structure of Cs2RbBa2, as listed in Alexandria.

a b c (Å): 13.796 13.796 4.747
angles (deg): 90.00 90.00 90.00
Space group P4/mbm (No. 127)
Inequivalent atoms, fractional coordinates:
1 Cs 0.183 0.317 0.000 (multiplicity 4)
2 Rb 0.000 0.000 0.500 (multiplicity 2)
3 Ba 0.110 0.610 0.500 (multiplicity 4)

Summary:
DOS at the Fermi energy   11.0 states/eV/cell
Energy relative to the elements   0.2220 eV per atom

First-principles (PBE-GGA) data for an optimized crystal structure of K2HoIO6, as listed in Alexandria.

a b c (Å): 6.1091 6.1091 29.8402
angles (deg): 90.00 90.00 120.00
Space group R-3m (No. 166, hexagonal axes)
Inequivalent atoms, fractional coordinates:
1 K 0.0000 0.0000 0.1347 (multiplicity 6)
2 K 0.0000 0.0000 0.2663 (multiplicity 6)
3 Ho 0.0000 0.0000 0.4003 (multiplicity 6)
4 I 0.0000 0.0000 0.0000 (multiplicity 3)
5 I 0.0000 0.0000 0.5000 (multiplicity 3)
6 O 0.0392 0.5196 0.7033 (multiplicity 18)
7 O 0.0475 0.5238 0.1275 (multiplicity 18)

Summary:
DOS at the Fermi energy   0.0 states/eV/cell
Formation energy without anion corrections   -1599 kJ/mol of formula units

First-principles (PBE-GGA) data for an optimized crystal structure of AsSeIN2, as listed in Alexandria.

a b c (Å): 3.928 3.928 7.317
angles (deg): 90.00 90.00 90.00
Space group P4/mmm (No. 123)
Inequivalent atoms, fractional coordinates:
1 As 0.000 0.000 0.000 (multiplicity 1)
2 Se 0.500 0.500 0.000 (multiplicity 1)
3 I 0.500 0.500 0.500 (multiplicity 1)
4 N 0.000 0.500 0.500 (multiplicity 2)

Summary:
DOS at the Fermi energy   2.5 states/eV/cell
Formation energy without anion corrections   877 kJ/mol of formula units

First-principles (PBE-GGA) data for an optimized crystal structure of Tb2S2O, as listed in Alexandria.

a b c (Å): 8.327 6.959 6.903
angles (deg): 90.00 99.20 90.00
Space group P2_1/c (No. 14)
Inequivalent atoms, fractional coordinates:
1 Tb 0.077 0.142 0.320 (multiplicity 4)
2 Tb 0.362 0.554 0.250 (multiplicity 4)
3 S 0.180 0.636 0.575 (multiplicity 4)
4 S 0.424 0.223 0.470 (multiplicity 4)
5 O 0.117 0.087 0.649 (multiplicity 4)

Summary:
DOS at the Fermi energy   0.0 states/eV/cell
Formation energy without anion corrections   -1270 kJ/mol of formula units

First-principles (PBE-GGA) data for an optimized crystal structure of LuZrTlTc, as listed in Alexandria.

a b c (Å): 6.960 6.960 6.960
angles (deg): 90.00 90.00 90.00
Space group F-43m (No. 216)
Inequivalent atoms, fractional coordinates:
1 Lu 0.000 0.000 0.000 (multiplicity 4)
2 Zr 0.000 0.000 0.500 (multiplicity 4)
3 Tl 0.250 0.250 0.750 (multiplicity 4)
4 Tc 0.250 0.250 0.250 (multiplicity 4)

Summary:
DOS at the Fermi energy   11.7 states/eV/cell
Energy relative to the elements   -0.0766 eV per atom

- DOS at the Fermi energy of number 6 (LuZrTlTc)?
  11.7 states/eV/cell

- Which of these has the highest DOS at the Fermi energy?
  LuZrTlTc

- The highest DOS at the Fermi energy belongs to which entry?
  LuZrTlTc